[1]
## IrPtS2Cl (PBE)

Data for an optimized crystal structure of IrPtS2Cl.

abc: 4.626 4.626 4.707
angles: 90.00 90.00 90.00
Fractional coordinates of all 5 atoms:
Ir1 0.000 0.000 0.000
Pt1 0.500 0.500 0.500
S1 0.000 0.500 0.000
S2 0.500 0.000 0.000
Cl1 0.000 0.000 0.500

Output
polymorph energy (0 for the lowest one): 0.00 eV per formula unit
ρ: 8.0 g/cm3
ΔE_f (raw): 0.897 eV per atom
space group: P4/mmm
N(E_F): 8.45 states/eV/f.u.

=====

[2]
## La2NdOsN4 (PBE)

Data for an optimized crystal structure of La2NdOsN4.

abc: 6.346 6.346 12.447
angles: 90.00 90.00 147.80
Fractional coordinates of all 16 atoms:
La1 0.132 0.868 0.541
La2 0.132 0.868 0.959
La3 0.868 0.132 0.041
La4 0.868 0.132 0.459
Nd1 0.378 0.622 0.750
Nd2 0.622 0.378 0.250
Os1 0.350 0.650 0.250
Os2 0.650 0.350 0.750
N1 0.074 0.926 0.750
N2 0.225 0.775 0.140
N3 0.225 0.775 0.360
N4 0.500 0.500 0.000
N5 0.500 0.500 0.500
N6 0.775 0.225 0.640
N7 0.775 0.225 0.860
N8 0.926 0.074 0.250

Output
ρ: 8.3 g/cm3
ΔE_f (raw): -0.781 eV per atom
space group: Cmcm
N(E_F): 1.47 states/eV/f.u.

=====

[3]
## ErCu4Pd8 (PBE)

Data for an optimized crystal structure of ErCu4Pd8.

abc: 6.791 6.791 6.791
angles: 97.78 97.78 136.84
Fractional coordinates of all 13 atoms:
Er1 0.000 0.000 0.000
Cu1 0.000 0.000 0.500
Cu2 0.000 0.500 0.000
Cu3 0.500 0.000 0.000
Cu4 0.500 0.500 0.500
Pd1 0.000 0.346 0.346
Pd2 0.000 0.654 0.654
Pd3 0.284 0.500 0.784
Pd4 0.346 0.000 0.346
Pd5 0.500 0.284 0.784
Pd6 0.500 0.716 0.216
Pd7 0.654 0.000 0.654
Pd8 0.716 0.500 0.216

Output
ρ: 10.6 g/cm3
ΔH_f (0 K): -0.319 eV/atom
space group: I4/mmm
N(E_F): 11.82 states/eV/f.u.

=====

[4]
## CsTl2OsSe (PBE)

Data for an optimized crystal structure of CsTl2OsSe.

abc: 5.318 5.318 5.718
angles: 90.00 90.00 90.00
Fractional coordinates of all 5 atoms:
Cs1 0.000 0.000 0.000
Tl1 0.000 0.500 0.500
Tl2 0.500 0.000 0.500
Os1 0.000 0.000 0.500
Se1 0.500 0.500 0.000

Output
ρ: 8.3 g/cm3
ΔE_f (raw): 0.587 eV per atom
space group: P4/mmm
N(E_F): 4.84 states/eV/f.u.

=====

[5]
## Sm6ErTm3Sc2 (PBE)

Data for an optimized crystal structure of Sm6ErTm3Sc2.

abc: 6.123 6.123 11.531
angles: 95.07 95.07 119.98
Fractional coordinates of all 12 atoms:
Sm1 0.082 0.418 0.754
Sm2 0.246 0.246 0.246
Sm3 0.418 0.082 0.754
Sm4 0.582 0.918 0.246
Sm5 0.754 0.754 0.754
Sm6 0.918 0.582 0.246
Er1 0.500 0.500 0.000
Tm1 0.000 0.000 0.500
Tm2 0.333 0.667 0.500
Tm3 0.667 0.333 0.500
Sc1 0.167 0.833 0.000
Sc2 0.833 0.167 0.000

Output
ρ: 7.5 g/cm3
ΔH_f (0 K): 0.035 eV/atom
space group: C2/m
N(E_F): 13.60 states/eV/f.u.

=====

[6]
## CdSiPb3 (PBE)

Data for an optimized crystal structure of CdSiPb3.

abc: 5.475 5.475 5.475
angles: 90.00 90.00 90.00
Fractional coordinates of all 5 atoms:
Cd1 0.000 0.000 0.000
Si1 0.500 0.500 0.500
Pb1 0.000 0.500 0.500
Pb2 0.500 0.000 0.500
Pb3 0.500 0.500 0.000

Output
polymorph energy (0 for the lowest one): 0.00 eV per formula unit
ρ: 7.7 g/cm3
ΔE_f (raw): 0.501 eV per atom
space group: Pm-3m
N(E_F): 4.01 states/eV/f.u.

=====

[7]
## Sb2Te (PBE)

Data for an optimized crystal structure of Sb2Te.

abc: 5.515 5.515 6.405
angles: 90.00 90.00 120.00
Fractional coordinates of all 6 atoms:
Sb1 0.000 0.000 0.000
Sb2 0.000 0.000 0.500
Sb3 0.333 0.667 0.250
Sb4 0.667 0.333 0.750
Te1 0.333 0.667 0.750
Te2 0.667 0.333 0.250

Output
polymorph energy (0 for the lowest one): 0.98 eV per formula unit
ρ: 7.3 g/cm3
ΔE_f (raw): 0.260 eV per atom
space group: P6_3/mmc
N(E_F): 1.58 states/eV/f.u.

=====

[8]
## Al2CuCl (PBE)

Data for an optimized crystal structure of Al2CuCl.

abc: 2.983 5.479 8.526
angles: 90.00 90.00 90.00
Fractional coordinates of all 8 atoms:
Al1 0.000 0.000 0.242
Al2 0.000 0.000 0.758
Al3 0.500 0.500 0.258
Al4 0.500 0.500 0.742
Cu1 0.000 0.500 0.500
Cu2 0.500 0.000 0.000
Cl1 0.000 0.500 0.000
Cl2 0.500 0.000 0.500

Output
polymorph energy (0 for the lowest one): 1.20 eV per formula unit
ρ: 3.6 g/cm3
ΔE_f (raw): 0.073 eV per atom
space group: Immm
N(E_F): 1.37 states/eV/f.u.

=====

[9]
## Zr2ScSb (PBE)

Data for an optimized crystal structure of Zr2ScSb.

abc: 10.661 3.324 5.299
angles: 90.00 101.96 90.00
Fractional coordinates of all 8 atoms:
Zr1 0.238 0.000 0.237
Zr2 0.262 0.500 0.763
Zr3 0.738 0.500 0.237
Zr4 0.762 0.000 0.763
Sc1 0.000 0.000 0.500
Sc2 0.500 0.500 0.500
Sb1 0.000 0.500 0.000
Sb2 0.500 0.000 0.000

Output
ρ: 6.3 g/cm3
ΔE_f (raw): -0.299 eV per atom
space group: C2/m
N(E_F): 5.04 states/eV/f.u.

=====

[10]
## MgAlI3 (PBE)

Data for an optimized crystal structure of MgAlI3.

abc: 5.631 5.631 5.631
angles: 90.00 90.00 90.00
Fractional coordinates of all 5 atoms:
Mg1 0.000 0.000 0.000
Al1 0.500 0.500 0.500
I1 0.000 0.500 0.500
I2 0.500 0.000 0.500
I3 0.500 0.500 0.000

Output
polymorph energy (0 for the lowest one): 1.06 eV per formula unit
ρ: 4.0 g/cm3
ΔE_f (raw): -0.188 eV per atom
space group: Pm-3m
N(E_F): 1.77 states/eV/f.u.